A relaxed structure of Hf2SnBiSb. Source: Alexandria, functional PBE.

E_form (uncorrected), kJ/mol of atoms: 117.1
Density of states at the Fermi level, states/eV/cell: 9.3

a b c (Å): 5.438 5.438 5.683
angles (deg): 90.00 90.00 90.00
Fractional coordinates of all 5 atoms:
1 Hf 0.000 0.500 0.000
2 Hf 0.500 0.000 0.000
3 Sn 0.000 0.000 0.500
4 Bi 0.000 0.000 0.000
5 Sb 0.500 0.500 0.500